VASP calculation (PBE) on NaYTe2 after structural relaxation.

The value obtained for the uncorrected formation energy is -1288 meV/atom. Its total energy is -0.353 Ry/atom. Its space group is I4_1/amd, No. 141.

Lattice parameters (Å, degrees): 6.254 6.254 7.824 66.45 66.45 90.00
Positions (direct):
Na1 0.250 0.750 0.500
Na2 0.500 0.500 0.000
Y1 0.750 0.250 0.500
Y2 0.000 0.000 0.000
Te1 0.762 0.762 0.476
Te2 0.988 0.488 0.024
Te3 0.238 0.238 0.524
Te4 0.512 0.012 0.976